(1)
A plane-wave DFT calculation with PBE-GGA was carried out for a relaxed AcPm2Cd9 crystal.

Calculated formation energy ... -269 meV/atom
Size of the total moment ... 0.0 Bohr magnetons per cell
Total DFT energy (no corrections) ... -2.090 eV per atom
DOS at the Fermi energy ... 0.8186 states/eV per atom

a = 6.080 Å, b = 6.080 Å, c = 10.230 Å
α = 72.71°, β = 72.71°, γ = 60.00°
Positions (direct):
Cd1 0.335 0.335 0.994
Ac1 0.000 0.000 0.000
Cd2 0.077 0.590 0.744
Cd3 0.410 0.923 0.256
Pm1 0.142 0.142 0.573
Cd4 0.590 0.590 0.744
Pm2 0.858 0.858 0.427
Cd5 0.500 0.500 0.500
Cd6 0.410 0.410 0.256
Cd7 0.665 0.665 0.006
Cd8 0.590 0.077 0.744
Cd9 0.923 0.410 0.256

(2)
A plane-wave DFT calculation with PBE-GGA was carried out for a relaxed Ac6PmCd2 crystal.

Calculated formation energy ... -109 meV/atom
Size of the total moment ... 0.0 Bohr magnetons per cell
Total DFT energy (no corrections) ... -3.579 eV per atom
DOS at the Fermi energy ... 1.1229 states/eV per atom

a = 4.059 Å, b = 7.224 Å, c = 12.909 Å
α = 75.36°, β = 80.96°, γ = 73.69°
Positions (direct):
Ac1 0.027 0.277 0.669
Ac2 0.687 0.219 0.408
Cd1 0.643 0.902 0.812
Ac3 0.319 0.484 0.878
Ac4 0.973 0.723 0.331
Ac5 0.681 0.516 0.122
Ac6 0.313 0.781 0.592
Pm1 0.000 0.000 0.000
Cd2 0.357 0.098 0.188

(3)
A plane-wave DFT calculation with PBE-GGA was carried out for a relaxed Ac2PmCd9 crystal.

Calculated formation energy ... -228 meV/atom
Size of the total moment ... 0.0 Bohr magnetons per cell
Total DFT energy (no corrections) ... -1.995 eV per atom
DOS at the Fermi energy ... 0.6038 states/eV per atom

a = 6.141 Å, b = 6.141 Å, c = 10.403 Å
α = 72.83°, β = 72.83°, γ = 60.00°
Positions (direct):
Cd1 0.924 0.416 0.245
Cd2 0.584 0.076 0.755
Cd3 0.416 0.924 0.245
Cd4 0.416 0.416 0.245
Cd5 0.076 0.584 0.755
Cd6 0.500 0.500 0.500
Cd7 0.665 0.665 0.005
Cd8 0.335 0.335 0.995
Ac1 0.860 0.860 0.421
Cd9 0.584 0.584 0.755
Ac2 0.140 0.140 0.579
Pm1 0.000 0.000 0.000

(4)
A plane-wave DFT calculation with PBE-GGA was carried out for a relaxed AcPmCd4 crystal.

Calculated formation energy ... -299 meV/atom
Size of the total moment ... 0.0 Bohr magnetons per cell
Total DFT energy (no corrections) ... -2.385 eV per atom
DOS at the Fermi energy ... 0.3978 states/eV per atom

a = 6.106 Å, b = 6.106 Å, c = 6.106 Å
α = 60.00°, β = 60.00°, γ = 60.00°
Positions (direct):
Ac1 0.250 0.250 0.250
Cd1 0.123 0.626 0.626
Cd2 0.626 0.123 0.626
Cd3 0.626 0.626 0.123
Cd4 0.626 0.626 0.626
Pm1 0.000 0.000 0.000

(5)
A plane-wave DFT calculation with PBE-GGA was carried out for a relaxed AcPm6Cd2 crystal.

Calculated formation energy ... -124 meV/atom
Size of the total moment ... 0.0 Bohr magnetons per cell
Total DFT energy (no corrections) ... -3.951 eV per atom
DOS at the Fermi energy ... 1.1418 states/eV per atom

a = 3.878 Å, b = 6.832 Å, c = 12.149 Å
α = 75.10°, β = 80.82°, γ = 73.51°
Positions (direct):
Pm1 0.314 0.791 0.581
Cd1 0.654 0.914 0.777
Pm2 0.015 0.309 0.661
Cd2 0.346 0.086 0.223
Pm3 0.312 0.502 0.874
Pm4 0.688 0.498 0.126
Pm5 0.985 0.691 0.339
Pm6 0.686 0.209 0.419
Ac1 0.000 0.000 0.000

(6)
A plane-wave DFT calculation with PBE-GGA was carried out for a relaxed Ac2PmCd2 crystal.

Calculated formation energy ... -142 meV/atom
Size of the total moment ... 0.0 Bohr magnetons per cell
Total DFT energy (no corrections) ... -3.102 eV per atom
DOS at the Fermi energy ... 1.1309 states/eV per atom

a = 4.141 Å, b = 7.065 Å, c = 7.065 Å
α = 66.19°, β = 72.96°, γ = 72.96°
Positions (direct):
Cd1 0.500 0.694 0.306
Ac1 0.784 0.716 0.716
Ac2 0.216 0.284 0.284
Pm1 0.000 0.000 0.000
Cd2 0.500 0.306 0.694

(7)
A plane-wave DFT calculation with PBE-GGA was carried out for a relaxed AcPm2Cd crystal.

Calculated formation energy ... -32 meV/atom
Size of the total moment ... 0.0 Bohr magnetons per cell
Total DFT energy (no corrections) ... -3.663 eV per atom
DOS at the Fermi energy ... 1.0691 states/eV per atom

a = 3.792 Å, b = 3.792 Å, c = 11.440 Å
α = 80.46°, β = 80.46°, γ = 60.00°
Positions (direct):
Cd1 0.666 0.666 0.001
Ac1 0.500 0.500 0.500
Pm1 0.073 0.073 0.780
Pm2 0.260 0.260 0.219

(8)
A plane-wave DFT calculation with PBE-GGA was carried out for a relaxed Ac2Pm2Cd15 crystal.

Calculated formation energy ... -179 meV/atom
Size of the total moment ... 0.0 Bohr magnetons per cell
Total DFT energy (no corrections) ... -1.834 eV per atom
DOS at the Fermi energy ... 0.6709 states/eV per atom

a = 7.947 Å, b = 7.947 Å, c = 7.947 Å
α = 81.63°, β = 81.63°, γ = 81.63°
Positions (direct):
Cd1 0.705 0.295 0.000
Cd2 0.362 0.362 0.847
Cd3 0.153 0.638 0.638
Cd4 0.000 0.295 0.705
Ac1 0.662 0.662 0.662
Cd5 0.295 0.000 0.705
Cd6 0.638 0.638 0.153
Cd7 0.500 0.000 0.000
Cd8 0.000 0.705 0.295
Pm1 0.907 0.907 0.907
Cd9 0.847 0.362 0.362
Cd10 0.362 0.847 0.362
Cd11 0.000 0.500 0.000
Ac2 0.338 0.338 0.338
Cd12 0.705 0.000 0.295
Cd13 0.295 0.705 0.000
Cd14 0.000 0.000 0.500
Cd15 0.638 0.153 0.638
Pm2 0.093 0.093 0.093

(9)
A plane-wave DFT calculation with PBE-GGA was carried out for a relaxed AcPmCd crystal.

Calculated formation energy ... -182 meV/atom
Size of the total moment ... 0.2 Bohr magnetons per cell
Total DFT energy (no corrections) ... -3.440 eV per atom
DOS at the Fermi energy ... 1.4026 states/eV per atom

a = 3.928 Å, b = 3.928 Å, c = 7.179 Å
α = 105.88°, β = 105.88°, γ = 90.00°
Positions (direct):
Ac1 0.010 0.010 0.019
Pm1 0.312 0.312 0.624
Cd1 0.679 0.679 0.357

(10)
A plane-wave DFT calculation with PBE-GGA was carried out for a relaxed Ac12Pm3Cd5 crystal.

Calculated formation energy ... 433 meV/atom
Size of the total moment ... 0.0 Bohr magnetons per cell
Total DFT energy (no corrections) ... -2.973 eV per atom
DOS at the Fermi energy ... 1.6928 states/eV per atom

a = 17.163 Å, b = 17.163 Å, c = 17.163 Å
α = 109.47°, β = 109.47°, γ = 109.47°
Positions (direct):
Pm1 0.625 0.250 0.375
Pm2 0.125 0.875 0.750
Ac1 0.553 0.333 0.925
Ac2 0.780 0.447 0.372
Cd1 0.250 0.875 0.125
Ac3 0.091 0.167 0.220
Ac4 0.091 0.925 0.372
Ac5 0.220 0.553 0.628
Ac6 0.167 0.091 0.720
Cd2 0.500 0.500 0.000
Ac7 0.409 0.280 0.333
Ac8 0.575 0.628 0.409
Cd3 0.125 0.750 0.375
Ac9 0.628 0.053 0.220
Cd4 0.500 0.000 0.500
Pm3 0.625 0.375 0.750
Pm4 0.750 0.375 0.125
Cd5 0.500 0.000 0.000
Ac10 0.075 0.167 0.447
Ac11 0.925 0.091 0.872
Cd6 0.500 0.500 0.500
Cd7 0.875 0.250 0.625
Cd8 0.625 0.750 0.875
Cd9 0.375 0.125 0.750
Ac12 0.372 0.947 0.780
Ac13 0.925 0.833 0.553
Ac14 0.372 0.425 0.091
Ac15 0.667 0.220 0.591
Ac16 0.128 0.720 0.553
Ac17 0.872 0.591 0.925
Ac18 0.220 0.667 0.091
Pm5 0.750 0.875 0.625
Ac19 0.128 0.409 0.075
Cd10 0.250 0.375 0.625
Ac20 0.720 0.128 0.053
Ac21 0.280 0.872 0.947
Ac22 0.667 0.447 0.575
Ac23 0.947 0.575 0.167
Pm6 0.125 0.250 0.875
Cd11 0.625 0.875 0.250
Cd12 0.750 0.125 0.875
Ac24 0.409 0.128 0.575
Ac25 0.591 0.872 0.425
Cd13 0.000 0.500 0.500
Pm7 0.375 0.625 0.250
Ac26 0.053 0.628 0.720
Pm8 0.250 0.125 0.375
Ac27 0.333 0.553 0.425
Ac28 0.628 0.575 0.909
Ac29 0.075 0.909 0.128
Ac30 0.947 0.372 0.280
Cd14 0.125 0.375 0.250
Cd15 0.875 0.625 0.750
Cd16 0.750 0.625 0.375
Ac31 0.909 0.075 0.628
Ac32 0.447 0.780 0.872
Pm9 0.875 0.125 0.250
Cd17 0.000 0.000 0.500
Pm10 0.250 0.625 0.875
Ac33 0.280 0.409 0.833
Cd18 0.000 0.000 0.000
Ac34 0.909 0.833 0.780
Ac35 0.575 0.947 0.667
Ac36 0.447 0.667 0.075
Pm11 0.375 0.750 0.625
Ac37 0.053 0.425 0.833
Ac38 0.833 0.909 0.280
Cd19 0.000 0.500 0.000
Cd20 0.375 0.250 0.125
Ac39 0.425 0.053 0.333
Ac40 0.167 0.075 0.947
Ac41 0.333 0.780 0.409
Ac42 0.780 0.333 0.909
Ac43 0.720 0.591 0.167
Ac44 0.833 0.925 0.053
Ac45 0.591 0.720 0.667
Pm12 0.875 0.750 0.125
Ac46 0.872 0.280 0.447
Ac47 0.425 0.372 0.591
Ac48 0.553 0.220 0.128